## TeP2WO (GGA+U)

Data for an optimized crystal structure of TeP2WO. Values from VASP.

Values from the calculation:
Mass density (g/cm³): 6.57
Distance to the lowest polymorph of the same formula (eV per atom): 0.9131
Calculated total energy (eV per atom): -4.3972

Geometry as Quantum ESPRESSO input:
```
&SYSTEM
  ibrav = 0, nat = 5, ntyp = 4
/
ATOMIC_SPECIES
Te 127.60 Te.upf
P 30.97 P.upf
W 183.84 W.upf
O 16.00 O.upf
ATOMIC_POSITIONS crystal
Te 0.000 0.000 0.000
P 0.000 0.500 0.000
P 0.500 0.000 0.000
W 0.500 0.500 0.500
O 0.000 0.000 0.500
CELL_PARAMETERS angstrom
5.025 0.000 0.000
0.000 5.025 0.000
0.000 0.000 3.901
```